one) Computed, not measured: a relaxed structure of Tc2BiTe at the PBE level of DFT.

As for the density of states at the Fermi level: 34.4 states/eV/cell.

The structure belongs to space group I-42d (No. 122); the cell edges are 6.2124, 6.2124 and 11.4661 Å and the angles 90.00°, 90.00° and 90.00°. The distinct sites, in fractional coordinates, are Tc at (0.2338, 0.2500, 0.1250), Bi at (0.0000, 0.0000, 0.5000) and Te at (0.0000, 0.0000, 0.0000).

=====

two) Computed, not measured: a relaxed structure of Tc2BiTe at the PBE level of DFT.

As for the density of states at the Fermi level: 11.3 states/eV/cell.

The structure belongs to space group Fm-3m (No. 225); the cell edges are 6.6850, 6.6850 and 6.6850 Å and the angles 90.00°, 90.00° and 90.00°. The distinct sites, in fractional coordinates, are Tc at (0.2500, 0.2500, 0.2500), Bi at (0.0000, 0.0000, 0.0000) and Te at (0.0000, 0.0000, 0.5000).

=====

Going by the energies, two) is most stable and the next is 46.2 kJ/mol of atoms up.

=====

one) Computed, not measured: a relaxed structure of Th8Tc3Bi2 at the PBE level of DFT.

As for the density of states at the Fermi level: 23.3 states/eV/cell.

The structure belongs to space group Cmmm (No. 65); the cell edges are 10.0501, 16.3957 and 4.8721 Å and the angles 90.00°, 90.00° and 90.00°. The distinct sites, in fractional coordinates, are Th at (0.0000, 0.1023, 0.0000), Th at (0.0000, 0.3906, 0.0000), Th at (0.2488, 0.3936, 0.5000), Tc at (0.0000, 0.5000, 0.5000), Tc at (0.2461, 0.5000, 0.0000) and Bi at (0.0000, 0.2458, 0.5000).

=====

two) Computed, not measured: a relaxed structure of Th8Tc3Bi2 at the PBE level of DFT.

As for the density of states at the Fermi level: 18.3 states/eV/cell.

The structure belongs to space group C2/m (No. 12); the cell edges are 16.5307, 8.1210 and 7.0154 Å and the angles 90.00°, 104.92° and 90.00°. The distinct sites, in fractional coordinates, are Th at (0.0927, 0.0000, 0.3963), Th at (0.0983, 0.2512, 0.8937), Th at (0.0980, 0.5000, 0.3918), Tc at (0.0000, 0.2468, 0.5000), Tc at (0.0000, 0.5000, 0.0000) and Bi at (0.2489, 0.0000, 0.1659).

=====

Going by the energies, one) is most stable and the next is 1.4 kJ/mol of atoms up.

=====

one) Computed, not measured: a relaxed structure of Th2TcBi at the PBE level of DFT.

As for the density of states at the Fermi level: 5.8 states/eV/cell.

The structure belongs to space group P2_1/m (No. 11); the cell edges are 6.5335, 4.1636 and 8.8798 Å and the angles 90.00°, 109.43° and 90.00°. The distinct sites, in fractional coordinates, are Th at (0.1480, 0.2500, 0.3826), Th at (0.2479, 0.7500, 0.0379), Tc at (0.1149, 0.2500, 0.7988) and Bi at (0.3871, 0.7500, 0.6973).

=====

two) Computed, not measured: a relaxed structure of Th2TcBi at the PBE level of DFT.

As for the density of states at the Fermi level: 3.0 states/eV/cell.

The structure belongs to space group P4/mmm (No. 123); the cell edges are 3.4549, 3.4549 and 9.0198 Å and the angles 90.00°, 90.00° and 90.00°. The distinct sites, in fractional coordinates, are Th at (0.0000, 0.0000, 0.2006), Tc at (0.5000, 0.5000, 0.0000) and Bi at (0.5000, 0.5000, 0.5000).

=====

Going by the energies, one) is most stable and the next is 4.1 kJ/mol of atoms up.

=====

one) Computed, not measured: a relaxed structure of Th2TcBi at the PBE level of DFT.

As for the density of states at the Fermi level: 8.9 states/eV/cell.

The structure belongs to space group R-3m (No. 166, hexagonal axes); the cell edges are 4.2693, 4.2693 and 22.4035 Å and the angles 90.00°, 90.00° and 120.00°. The distinct sites, in fractional coordinates, are Th at (0.0000, 0.0000, 0.2328), Tc at (0.0000, 0.0000, 0.5000) and Bi at (0.0000, 0.0000, 0.0000).

=====

two) Computed, not measured: a relaxed structure of Th2TcBi at the PBE level of DFT.

As for the density of states at the Fermi level: 12.0 states/eV/cell.

The structure belongs to space group P2/c (No. 13); the cell edges are 6.5873, 6.2531 and 11.4930 Å and the angles 90.00°, 103.57° and 90.00°. The distinct sites, in fractional coordinates, are Th at (0.1582, 0.1751, 0.1144), Th at (0.2689, 0.3195, 0.8237), Tc at (0.1158, 0.3254, 0.5829) and Bi at (0.3498, 0.1905, 0.4112).

=====

Going by the energies, two) is most stable and the next is 2.7 kJ/mol of atoms up.

=====

one) Computed, not measured: a relaxed structure of Th6TcBi2 at the PBE level of DFT.

As for the density of states at the Fermi level: 8.9 states/eV/cell.

The structure belongs to space group P-62m (No. 189); the cell edges are 8.8260, 8.8260 and 4.0079 Å and the angles 90.00°, 90.00° and 120.00°. The distinct sites, in fractional coordinates, are Th at (0.0000, 0.4061, 0.0000), Th at (0.0000, 0.7597, 0.5000), Tc at (0.0000, 0.0000, 0.0000) and Bi at (0.3333, 0.6667, 0.5000).

=====

two) Computed, not measured: a relaxed structure of Th6TcBi2 at the PBE level of DFT.

As for the density of states at the Fermi level: 19.1 states/eV/cell.

The structure belongs to space group P2_1/c (No. 14); the cell edges are 6.4832, 8.2395 and 12.2287 Å and the angles 90.00°, 119.42° and 90.00°. The distinct sites, in fractional coordinates, are Th at (0.0888, 0.1950, 0.4609), Th at (0.3266, 0.6763, 0.4663), Th at (0.3676, 0.0201, 0.2520), Tc at (0.5000, 0.0000, 0.5000) and Bi at (0.1478, 0.1078, 0.7459).

=====

Going by the energies, one) is most stable and the next is 12.1 kJ/mol of atoms up.

=====

one) Computed, not measured: a relaxed structure of Th5Tc2Bi2 at the PBE level of DFT.

As for the density of states at the Fermi level: 29.9 states/eV/cell.

The structure belongs to space group Cmce (No. 64); the cell edges are 16.3050, 8.0568 and 8.0317 Å and the angles 90.00°, 90.00° and 90.00°. The distinct sites, in fractional coordinates, are Th at (0.0000, 0.0000, 0.0000), Th at (0.1143, 0.1624, 0.3382), Tc at (0.0000, 0.1400, 0.6394) and Bi at (0.2110, 0.0000, 0.0000).

=====

two) Computed, not measured: a relaxed structure of Th5Tc2Bi2 at the PBE level of DFT.

As for the density of states at the Fermi level: 15.2 states/eV/cell.

The structure belongs to space group C2/m (No. 12); the cell edges are 14.5700, 5.4293 and 8.5330 Å and the angles 90.00°, 121.47° and 90.00°. The distinct sites, in fractional coordinates, are Th at (0.0000, 0.0000, 0.0000), Th at (0.1128, 0.0000, 0.7284), Th at (0.1450, 0.5000, 0.3854), Tc at (0.1110, 0.0000, 0.3933) and Bi at (0.1293, 0.5000, 0.9666).

=====

Going by the energies, one) is most stable and the next is 14.6 kJ/mol of atoms up.

=====

one) Computed, not measured: a relaxed structure of Th5TcBi2 at the PBE level of DFT.

As for the density of states at the Fermi level: 17.8 states/eV/cell.

The structure belongs to space group Pbam (No. 55); the cell edges are 8.3097, 12.7448 and 4.6341 Å and the angles 90.00°, 90.00° and 90.00°. The distinct sites, in fractional coordinates, are Th at (0.0000, 0.0000, 0.0000), Th at (0.1289, 0.3013, 0.0000), Th at (0.1964, 0.5599, 0.5000), Tc at (0.0000, 0.5000, 0.0000) and Bi at (0.0862, 0.8225, 0.5000).

=====

two) Computed, not measured: a relaxed structure of Th5TcBi2 at the PBE level of DFT.

As for the density of states at the Fermi level: 49.7 states/eV/cell.

The structure belongs to space group Cmcm (No. 63); the cell edges are 5.8352, 16.1543 and 13.2189 Å and the angles 90.00°, 90.00° and 90.00°. The distinct sites, in fractional coordinates, are Th at (0.0000, 0.0656, 0.1048), Th at (0.0000, 0.2920, 0.0714), Th at (0.0000, 0.3138, 0.7500), Tc at (0.0000, 0.1821, 0.2500) and Bi at (0.0000, 0.1399, 0.6190).

=====

Going by the energies, one) is most stable and the next is 50.4 kJ/mol of atoms up.

=====

one) Computed, not measured: a relaxed structure of Tm7Tc2Bi2 at the PBE level of DFT.

As for the density of states at the Fermi level: 14.3 states/eV/cell.

The structure belongs to space group Cmmm (No. 65); the cell edges are 8.7457, 10.3768 and 7.1801 Å and the angles 90.00°, 90.00° and 90.00°. The distinct sites, in fractional coordinates, are Tm at (0.0000, 0.0000, 0.0000), Tm at (0.0000, 0.5000, 0.2254), Tm at (0.2500, 0.2500, 0.2336), Tc at (0.0000, 0.2833, 0.0000) and Bi at (0.2079, 0.0000, 0.5000).

=====

two) Computed, not measured: a relaxed structure of Tm7Tc2Bi2 at the PBE level of DFT.

As for the density of states at the Fermi level: 16.5 states/eV/cell.

The structure belongs to space group Imm2 (No. 44); the cell edges are 3.7994, 16.4104 and 9.4236 Å and the angles 90.00°, 90.00° and 90.00°. The distinct sites, in fractional coordinates, are Tm at (0.0000, 0.0000, 0.0000), Tm at (0.0000, 0.1332, 0.5663), Tm at (0.0000, 0.3165, 0.3647), Tm at (0.0000, 0.3420, 0.7334), Tc at (0.0000, 0.2420, 0.0599), Bi at (0.0000, 0.0000, 0.3235) and Bi at (0.0000, 0.5000, 0.2318).

=====

Going by the energies, two) is most stable and the next is 14.5 kJ/mol of atoms up.

=====

one) Computed, not measured: a relaxed structure of TcBi3W at the PBE level of DFT.

As for the density of states at the Fermi level: 5.9 states/eV/cell.

The structure belongs to space group Pm-3m (No. 221); the cell edges are 5.3737, 5.3737 and 5.3737 Å and the angles 90.00°, 90.00° and 90.00°. The distinct sites, in fractional coordinates, are Tc at (0.0000, 0.0000, 0.0000), Bi at (0.0000, 0.5000, 0.5000) and W at (0.5000, 0.5000, 0.5000).

=====

two) Computed, not measured: a relaxed structure of TcBi3W at the PBE level of DFT.

As for the density of states at the Fermi level: 3.2 states/eV/cell.

The structure belongs to space group Pm-3m (No. 221); the cell edges are 5.2717, 5.2717 and 5.2717 Å and the angles 90.00°, 90.00° and 90.00°. The distinct sites, in fractional coordinates, are Tc at (0.0000, 0.0000, 0.0000), Bi at (0.0000, 0.0000, 0.5000) and W at (0.5000, 0.5000, 0.5000).

=====

Going by the energies, two) is most stable and the next is 0.8 kJ/mol of atoms up.

=====

one) Computed, not measured: a relaxed structure of YTcBi2 at the PBE level of DFT.

As for the density of states at the Fermi level: 11.1 states/eV/cell.

The structure belongs to space group I-42d (No. 122); the cell edges are 4.5279, 4.5279 and 20.8482 Å and the angles 90.00°, 90.00° and 90.00°. The distinct sites, in fractional coordinates, are Y at (0.0000, 0.0000, 0.0000), Tc at (0.0000, 0.0000, 0.5000) and Bi at (0.2278, 0.2500, 0.6250).

=====

two) Computed, not measured: a relaxed structure of YTcBi2 at the PBE level of DFT.

As for the density of states at the Fermi level: 8.8 states/eV/cell.

The structure belongs to space group Fm-3m (No. 225); the cell edges are 7.2196, 7.2196 and 7.2196 Å and the angles 90.00°, 90.00° and 90.00°. The distinct sites, in fractional coordinates, are Y at (0.0000, 0.0000, 0.0000), Tc at (0.0000, 0.0000, 0.5000) and Bi at (0.2500, 0.2500, 0.2500).

=====

Going by the energies, two) is most stable and the next is 30.1 kJ/mol of atoms up.

=====

one) Computed, not measured: a relaxed structure of YTc3Bi at the PBE level of DFT.

As for the density of states at the Fermi level: 4.9 states/eV/cell.

The structure belongs to space group Pm-3m (No. 221); the cell edges are 4.9109, 4.9109 and 4.9109 Å and the angles 90.00°, 90.00° and 90.00°. The distinct sites, in fractional coordinates, are Y at (0.0000, 0.0000, 0.0000), Tc at (0.0000, 0.0000, 0.5000) and Bi at (0.5000, 0.5000, 0.5000).

=====

two) Computed, not measured: a relaxed structure of YTc3Bi at the PBE level of DFT.

As for the density of states at the Fermi level: 5.2 states/eV/cell.

The structure belongs to space group Pm-3m (No. 221); the cell edges are 4.9872, 4.9872 and 4.9872 Å and the angles 90.00°, 90.00° and 90.00°. The distinct sites, in fractional coordinates, are Y at (0.0000, 0.0000, 0.0000), Tc at (0.0000, 0.5000, 0.5000) and Bi at (0.5000, 0.5000, 0.5000).

=====

Going by the energies, two) is most stable and the next is 45.6 kJ/mol of atoms up.